Computed, not measured: Ca3BiP2Rh9 after structural relaxation at the PBE level of DFT.

Calculated values
Calculated formation energy: -0.411 eV per atom
Crystal system: trigonal

Unit cell a=6.1032 b=6.1032 c=9.3169 alpha=90.00 beta=90.00 gamma=120.00
Closest atoms and distances in Å follow each position.
Element x y z (fractional)
Ca 0.0000 0.0000 0.0000  12 Rh 2.92-3.05
Ca 0.3333 0.6667 0.7085  9 Rh 3.07-3.24
Ca 0.6667 0.3333 0.2915  9 Rh 3.07-3.24
Bi 0.0000 0.0000 0.5000  6 Rh 2.71
P 0.3333 0.6667 0.1563  6 Rh 2.18-2.29
P 0.6667 0.3333 0.8437  6 Rh 2.18-2.29
Rh 0.0000 0.5000 0.0000  2 P 2.29
Rh 0.1494 0.2988 0.2631  1 P 2.18
Rh 0.1494 0.8506 0.2631  1 P 2.18
Rh 0.2988 0.1494 0.7369  1 P 2.18
Rh 0.5000 0.0000 0.0000  2 P 2.29
Rh 0.5000 0.5000 0.0000  2 P 2.29
Rh 0.7012 0.8506 0.2631  1 P 2.18
Rh 0.8506 0.1494 0.7369  1 P 2.18
Rh 0.8506 0.7012 0.7369  1 P 2.18

Computed, not measured: Ca2BiPRu after structural relaxation at the PBE level of DFT.

Calculated values
Calculated formation energy: 1.024 eV per atom
Crystal system: tetragonal

Unit cell a=5.9263 b=5.9263 c=5.1645 alpha=90.00 beta=90.00 gamma=90.00
Closest atoms and distances in Å follow each position.
Element x y z (fractional)
Ca 0.0000 0.5000 0.0000  2 Bi 2.96
Ca 0.5000 0.0000 0.0000  2 Bi 2.96
Bi 0.0000 0.0000 0.0000  2 P 2.58
P 0.0000 0.0000 0.5000  2 Bi 2.58
Ru 0.5000 0.5000 0.5000  8 Ca 3.93, 4 P 4.19

Computed, not measured: CaBiP2S after structural relaxation at the PBE level of DFT.

Calculated values
Formation energy without anion corrections: 1.552 eV per formula unit
Crystal system: tetragonal
Offset from the most stable computed form: 0.0 kJ/mol of formula units

Unit cell a=5.2152 b=5.2152 c=5.3137 alpha=90.00 beta=90.00 gamma=90.00
Closest atoms and distances in Å follow each position.
Element x y z (fractional)
Ca 0.0000 0.0000 0.0000  4 S 3.69, 8 P 3.72
Bi 0.5000 0.5000 0.5000  4 P 2.61, 2 S 2.66
P 0.0000 0.5000 0.5000  2 Bi 2.61
P 0.5000 0.0000 0.5000  2 Bi 2.61
S 0.5000 0.5000 0.0000  2 Bi 2.66

Computed, not measured: CaBiP2S8 after structural relaxation at the PBE level of DFT.

Calculated values
Formation energy without anion corrections: -4.838 eV per formula unit
Crystal system: trigonal

Unit cell a=6.0578 b=6.0578 c=9.1407 alpha=90.00 beta=90.00 gamma=120.00
Closest atoms and distances in Å follow each position.
Element x y z (fractional)
Ca 0.0000 0.0000 0.0000  12 S 3.30-3.50
Bi 0.0000 0.0000 0.5000  6 S 2.80
P 0.3333 0.6667 0.7709  4 S 2.02-2.06
P 0.6667 0.3333 0.2291  4 S 2.02-2.06
S 0.0070 0.3342 0.7134  1 P 2.06
S 0.3272 0.9930 0.7134  1 P 2.06
S 0.3333 0.6667 0.9913  1 P 2.02
S 0.3342 0.3272 0.2866  1 P 2.06
S 0.6658 0.6728 0.7134  1 P 2.06
S 0.6667 0.3333 0.0087  1 P 2.02
S 0.6728 0.0070 0.2866  1 P 2.06
S 0.9930 0.6658 0.2866  1 P 2.06

Computed, not measured: CaBiP2S after structural relaxation at the PBE level of DFT.

Calculated values
Formation energy without anion corrections: 3.298 eV per formula unit
Crystal system: tetragonal
Offset from the most stable computed form: 168.5 kJ/mol of formula units

Unit cell a=5.2010 b=5.2010 c=5.0480 alpha=90.00 beta=90.00 gamma=90.00
Closest atoms and distances in Å follow each position.
Element x y z (fractional)
Ca 0.0000 0.0000 0.0000  2 S 2.52, 4 P 2.60
Bi 0.5000 0.5000 0.5000  8 P 3.62, 4 S 3.68
P 0.0000 0.5000 0.0000  2 Ca 2.60
P 0.5000 0.0000 0.0000  2 Ca 2.60
S 0.0000 0.0000 0.5000  2 Ca 2.52

Computed, not measured: Ca3SmBi2P after structural relaxation at the PBE level of DFT.

Calculated values
Calculated formation energy: -0.942 eV per atom
Crystal system: orthorhombic

Unit cell a=9.1007 b=9.1007 c=9.1007 alpha=146.45 beta=145.41 gamma=48.95
Closest atoms and distances in Å follow each position.
Element x y z (fractional)
Ca 0.0000 0.0000 0.0000  2 P 2.63
Ca 0.1724 0.6724 0.5000  1 P 2.86, 1 Bi 3.20
Ca 0.8276 0.3276 0.5000  1 P 2.86, 1 Bi 3.20
Sm 0.5000 0.5000 0.0000  2 P 2.71
Bi 0.3653 0.8653 0.5000  3 Ca 3.20-3.51, 2 Sm 3.45
Bi 0.6347 0.1347 0.5000  3 Ca 3.20-3.51, 2 Sm 3.45
P 0.0000 0.5000 0.5000  4 Ca 2.63-2.86, 2 Sm 2.71

Computed, not measured: Sr3CaBi2P after structural relaxation at the PBE level of DFT.

Calculated values
Calculated formation energy: -0.883 eV per atom
Crystal system: orthorhombic

Unit cell a=9.5706 b=9.5706 c=9.5706 alpha=147.36 beta=145.95 gamma=47.88
Closest atoms and distances in Å follow each position.
Element x y z (fractional)
Sr 0.0000 0.0000 0.0000  2 P 2.80
Sr 0.3280 0.8280 0.5000  1 P 3.01
Sr 0.6720 0.1720 0.5000  1 P 3.01
Ca 0.5000 0.5000 0.0000  2 P 2.69
Bi 0.1333 0.6333 0.5000  3 Sr 3.41-3.56, 2 Ca 3.65
Bi 0.8667 0.3667 0.5000  3 Sr 3.41-3.56, 2 Ca 3.65
P 0.5000 0.0000 0.5000  2 Ca 2.69, 4 Sr 2.80-3.01

Computed, not measured: SrCa2BiP after structural relaxation at the PBE level of DFT.

Calculated values
Calculated formation energy: -0.949 eV per atom
Crystal system: tetragonal

Unit cell a=5.4396 b=5.4396 c=5.7609 alpha=90.00 beta=90.00 gamma=90.00
Closest atoms and distances in Å follow each position.
Element x y z (fractional)
Sr 0.0000 0.0000 0.0000  2 P 2.88
Ca 0.0000 0.5000 0.5000  2 P 2.72
Ca 0.5000 0.0000 0.5000  2 P 2.72
Bi 0.5000 0.5000 0.0000  4 Sr 3.85, 8 Ca 3.96
P 0.0000 0.0000 0.5000  4 Ca 2.72, 2 Sr 2.88

Computed, not measured: Ca2Tm2Bi2P after structural relaxation at the PBE level of DFT.

Calculated values
Calculated formation energy: -0.928 eV per atom
Crystal system: tetragonal

Unit cell a=8.9921 b=8.9921 c=8.9921 alpha=146.53 beta=146.53 gamma=48.06
Closest atoms and distances in Å follow each position.
Element x y z (fractional)
Ca 0.1715 0.1715 0.0000  1 P 2.82
Ca 0.8285 0.8285 0.0000  1 P 2.82
Tm 0.0000 0.5000 0.5000  2 P 2.59
Tm 0.5000 0.0000 0.5000  2 P 2.59
Bi 0.3678 0.3678 0.0000  1 Ca 3.22, 4 Tm 3.38
Bi 0.6322 0.6322 0.0000  1 Ca 3.22, 4 Tm 3.38
P 0.0000 0.0000 0.0000  4 Tm 2.59, 2 Ca 2.82

Computed, not measured: CaVBi2P after structural relaxation at the PBE level of DFT.

Calculated values
Calculated formation energy: 0.526 eV per atom
Crystal system: tetragonal

Unit cell a=5.1542 b=5.1542 c=5.7032 alpha=90.00 beta=90.00 gamma=90.00
Closest atoms and distances in Å follow each position.
Element x y z (fractional)
Ca 0.0000 0.0000 0.0000  2 V 2.85
V 0.0000 0.0000 0.5000  4 Bi 2.58, 2 Ca 2.85
Bi 0.0000 0.5000 0.5000  2 V 2.58
Bi 0.5000 0.0000 0.5000  2 V 2.58
P 0.5000 0.5000 0.0000  4 Ca 3.64, 8 Bi 3.84

Computed, not measured: Ca2Y2Bi2P after structural relaxation at the PBE level of DFT.

Calculated values
Calculated formation energy: -0.952 eV per atom
Crystal system: tetragonal

Unit cell a=9.0362 b=9.0362 c=9.0362 alpha=146.24 beta=146.24 gamma=48.50
Closest atoms and distances in Å follow each position.
Element x y z (fractional)
Ca 0.1718 0.1718 0.0000  1 P 2.83
Ca 0.8282 0.8282 0.0000  1 P 2.83
Y 0.0000 0.5000 0.5000  2 P 2.62
Y 0.5000 0.0000 0.5000  2 P 2.62
Bi 0.3667 0.3667 0.0000  1 Ca 3.21, 4 Y 3.42
Bi 0.6333 0.6333 0.0000  1 Ca 3.21, 4 Y 3.42
P 0.0000 0.0000 0.0000  4 Y 2.62, 2 Ca 2.83

Computed, not measured: CaZn2BiP after structural relaxation at the PBE level of DFT.

Calculated values
Calculated formation energy: 1.008 eV per atom
Crystal system: tetragonal

Unit cell a=5.3989 b=5.3989 c=6.0212 alpha=90.00 beta=90.00 gamma=90.00
Closest atoms and distances in Å follow each position.
Element x y z (fractional)
Ca 0.0000 0.0000 0.0000  4 Zn 2.70, 2 Bi 3.01
Zn 0.0000 0.5000 0.0000  2 Ca 2.70
Zn 0.5000 0.0000 0.0000  2 Ca 2.70
Bi 0.0000 0.0000 0.5000  2 Ca 3.01
P 0.5000 0.5000 0.5000  4 Bi 3.82, 8 Zn 4.04

E_tot / eV per atom: -6.20 -3.49 -3.86 -4.55 -3.51 -4.36 -3.77 -3.94 -4.66 -4.33 -5.25 -1.76